(1)
# TcHgAs2Se | Alexandria | GGA-PBE | relaxed
data_TcHgAs2Se
_cell_length_a 4.7202
_cell_length_b 4.7202
_cell_length_c 5.3929
_cell_angle_alpha 90.00
_cell_angle_beta 90.00
_cell_angle_gamma 90.00
_symmetry_space_group_name_H-M 'P 4/m m m'
_symmetry_Int_Tables_number 123
_symmetry_space_group_name_Hall '-P 4 2'
loop_
_atom_site_label
_atom_site_fract_x
_atom_site_fract_y
_atom_site_fract_z
_atom_site_occupancy
Tc1 0.0000 0.0000 0.0000 1
Hg1 0.5000 0.5000 0.5000 1
As1 0.0000 0.5000 0.0000 1
Se1 0.0000 0.0000 0.5000 1
# Formation energy (no corrections) (meV/atom): 379
# Magnetic moment (μB/f.u.): 0.00
# Uncorrected energy (eV/f.u.): -21.555
# ΔE to the lowest computed polymorph (eV per formula unit): 0.000
# DOS(E_F) (states/eV per cell): 4.29

=====

(2)
# Th2MnGeC | Alexandria | GGA-PBE | relaxed
data_Th2MnGeC
_cell_length_a 6.4786
_cell_length_b 4.0495
_cell_length_c 8.4159
_cell_angle_alpha 90.00
_cell_angle_beta 109.59
_cell_angle_gamma 90.00
_symmetry_space_group_name_H-M 'P 1 21/m 1'
_symmetry_Int_Tables_number 11
_symmetry_space_group_name_Hall '-P 2yb'
loop_
_atom_site_label
_atom_site_fract_x
_atom_site_fract_y
_atom_site_fract_z
_atom_site_occupancy
Th1 0.2186 0.2500 0.3931 1
Th2 0.2273 0.2500 0.9688 1
Mn1 0.4761 0.7500 0.2527 1
Ge1 0.2993 0.7500 0.6992 1
C1 0.1739 0.7500 0.1757 1
# Magnetic moment (μB/f.u.): 2.13
# Uncorrected energy (eV/f.u.): -39.815
# Energy of formation from the pure elements (eV per atom): -0.39
# DOS(E_F) (states/eV per cell): 7.18

=====

(3)
# ZrNb3Sb | Alexandria | GGA-PBE | relaxed
data_ZrNb3Sb
_cell_length_a 5.0142
_cell_length_b 5.0142
_cell_length_c 5.0142
_cell_angle_alpha 90.00
_cell_angle_beta 90.00
_cell_angle_gamma 90.00
_symmetry_space_group_name_H-M 'P m -3 m'
_symmetry_Int_Tables_number 221
_symmetry_space_group_name_Hall '-P 4 2 3'
loop_
_atom_site_label
_atom_site_fract_x
_atom_site_fract_y
_atom_site_fract_z
_atom_site_occupancy
Zr1 0.0000 0.0000 0.0000 1
Nb1 0.0000 0.5000 0.5000 1
Sb1 0.5000 0.5000 0.5000 1
# Formation energy (no corrections) (meV/atom): 1206
# Magnetic moment (μB/f.u.): 0.00
# Uncorrected energy (eV/f.u.): -36.849
# ΔE to the lowest computed polymorph (eV per formula unit): 0.000
# DOS(E_F) (states/eV per cell): 5.58

=====

(4)
# GaMoW2 | Alexandria | GGA-PBE | relaxed
data_GaMoW2
_cell_length_a 7.2039
_cell_length_b 7.2039
_cell_length_c 5.3674
_cell_angle_alpha 90.00
_cell_angle_beta 90.00
_cell_angle_gamma 90.00
_symmetry_space_group_name_H-M 'I -4 2 d'
_symmetry_Int_Tables_number 122
_symmetry_space_group_name_Hall 'I -4 2bw'
loop_
_atom_site_label
_atom_site_fract_x
_atom_site_fract_y
_atom_site_fract_z
_atom_site_occupancy
Ga1 0.0000 0.0000 0.0000 1
Mo1 0.0000 0.0000 0.5000 1
W1 0.2352 0.7500 0.6250 1
# Magnetic moment (μB/f.u.): 0.00
# Uncorrected energy (eV/f.u.): -35.947
# Energy of formation from the pure elements (eV per atom): 0.95
# DOS(E_F) (states/eV per cell): 17.28

=====

(5)
# BaNaNd2S4 | Alexandria | GGA-PBE | relaxed
data_BaNaNd2S4
_cell_length_a 4.2167
_cell_length_b 13.9514
_cell_length_c 14.3887
_cell_angle_alpha 90.00
_cell_angle_beta 90.00
_cell_angle_gamma 90.00
_symmetry_space_group_name_H-M 'C m c m'
_symmetry_Int_Tables_number 63
_symmetry_space_group_name_Hall '-C 2c 2'
loop_
_atom_site_label
_atom_site_fract_x
_atom_site_fract_y
_atom_site_fract_z
_atom_site_occupancy
Ba1 0.0000 0.1217 0.2500 1
Na1 0.0000 0.1500 0.7500 1
Nd1 0.0000 0.3745 0.0538 1
S1 0.0000 0.0000 0.0000 1
S2 0.0000 0.2673 0.6106 1
S3 0.0000 0.4544 0.2500 1
# Formation energy (no corrections) (meV/atom): -1818
# Magnetic moment (μB/f.u.): 0.00
# Uncorrected energy (eV/f.u.): -43.834
# DOS(E_F) (states/eV per cell): 5.59

=====

(6)
# Tb2Pr2Dy2In | Alexandria | GGA-PBE | relaxed
data_Tb2Pr2Dy2In
_cell_length_a 5.8771
_cell_length_b 5.8639
_cell_length_c 13.1922
_cell_angle_alpha 90.00
_cell_angle_beta 102.83
_cell_angle_gamma 90.00
_symmetry_space_group_name_H-M 'C 1 2/m 1'
_symmetry_Int_Tables_number 12
_symmetry_space_group_name_Hall '-C 2y'
loop_
_atom_site_label
_atom_site_fract_x
_atom_site_fract_y
_atom_site_fract_z
_atom_site_occupancy
Tb1 0.0652 0.0000 0.1274 1
Pr1 0.2086 0.0000 0.4165 1
Dy1 0.1359 0.5000 0.2710 1
In1 0.0000 0.5000 0.0000 1
# Magnetic moment (μB/f.u.): 0.00
# Uncorrected energy (eV/f.u.): -30.970
# Energy of formation from the pure elements (eV per atom): -0.03
# DOS(E_F) (states/eV per cell): 26.28

=====

(7)
# BaNi2Pt | Alexandria | GGA-PBE | relaxed
data_BaNi2Pt
_cell_length_a 3.2080
_cell_length_b 3.2080
_cell_length_c 7.2626
_cell_angle_alpha 90.00
_cell_angle_beta 90.00
_cell_angle_gamma 90.00
_symmetry_space_group_name_H-M 'P 4 m m'
_symmetry_Int_Tables_number 99
_symmetry_space_group_name_Hall 'P 4 -2'
loop_
_atom_site_label
_atom_site_fract_x
_atom_site_fract_y
_atom_site_fract_z
_atom_site_occupancy
Ba1 0.0000 0.0000 0.0000 1
Ni1 0.0000 0.0000 0.4746 1
Ni2 0.5000 0.5000 0.3269 1
Pt1 0.5000 0.5000 0.6708 1
# Magnetic moment (μB/f.u.): 0.86
# Uncorrected energy (eV/f.u.): -18.720
# Energy of formation from the pure elements (eV per atom): 0.20
# DOS(E_F) (states/eV per cell): 5.38

=====

(8)
# ZrCo2HPd | Alexandria | GGA-PBE | relaxed
data_ZrCo2HPd
_cell_length_a 3.9101
_cell_length_b 3.9101
_cell_length_c 3.8258
_cell_angle_alpha 90.00
_cell_angle_beta 90.00
_cell_angle_gamma 90.00
_symmetry_space_group_name_H-M 'P 4/m m m'
_symmetry_Int_Tables_number 123
_symmetry_space_group_name_Hall '-P 4 2'
loop_
_atom_site_label
_atom_site_fract_x
_atom_site_fract_y
_atom_site_fract_z
_atom_site_occupancy
Zr1 0.0000 0.0000 0.0000 1
Co1 0.0000 0.5000 0.5000 1
H1 0.5000 0.5000 0.5000 1
Pd1 0.5000 0.5000 0.0000 1
# Magnetic moment (μB/f.u.): 0.77
# Uncorrected energy (eV/f.u.): -32.637
# ΔE to the lowest computed polymorph (eV per formula unit): 0.000
# DOS(E_F) (states/eV per cell): 2.51

=====

(9)
# Y3ScOs | Alexandria | GGA-PBE | relaxed
data_Y3ScOs
_cell_length_a 5.1318
_cell_length_b 5.1318
_cell_length_c 5.1318
_cell_angle_alpha 90.00
_cell_angle_beta 90.00
_cell_angle_gamma 90.00
_symmetry_space_group_name_H-M 'P m -3 m'
_symmetry_Int_Tables_number 221
_symmetry_space_group_name_Hall '-P 4 2 3'
loop_
_atom_site_label
_atom_site_fract_x
_atom_site_fract_y
_atom_site_fract_z
_atom_site_occupancy
Y1 0.0000 0.0000 0.5000 1
Sc1 0.0000 0.0000 0.0000 1
Os1 0.5000 0.5000 0.5000 1
# Magnetic moment (μB/f.u.): 0.00
# Uncorrected energy (eV/f.u.): -29.469
# Energy of formation from the pure elements (eV per atom): 1.50
# ΔE to the lowest computed polymorph (eV per formula unit): 6.890
# DOS(E_F) (states/eV per cell): 9.39

=====

(10)
# AlCd8Au6 | Alexandria | GGA-PBE | relaxed
data_AlCd8Au6
_cell_length_a 7.9587
_cell_length_b 7.9587
_cell_length_c 17.5463
_cell_angle_alpha 90.00
_cell_angle_beta 90.00
_cell_angle_gamma 120.00
_symmetry_space_group_name_H-M 'R -3'
_symmetry_Int_Tables_number 148
_symmetry_space_group_name_Hall '-R 3'
loop_
_atom_site_label
_atom_site_fract_x
_atom_site_fract_y
_atom_site_fract_z
_atom_site_occupancy
Al1 0.0000 0.0000 0.0000 1
Cd1 0.0000 0.0000 0.3331 1
Cd2 0.0041 0.3530 0.8800 1
Au1 0.0012 0.3123 0.0517 1
# Magnetic moment (μB/f.u.): 0.00
# Uncorrected energy (eV/f.u.): -33.931
# Energy of formation from the pure elements (eV per atom): -0.21
# DOS(E_F) (states/eV per cell): 9.61

=====

(11)
# Sr2Mg3 | Alexandria | GGA-PBE | relaxed
data_Sr2Mg3
_cell_length_a 3.9251
_cell_length_b 3.9251
_cell_length_c 40.7906
_cell_angle_alpha 90.00
_cell_angle_beta 90.00
_cell_angle_gamma 120.00
_symmetry_space_group_name_H-M 'R -3 m'
_symmetry_Int_Tables_number 166
_symmetry_space_group_name_Hall '-R 3 2"'
loop_
_atom_site_label
_atom_site_fract_x
_atom_site_fract_y
_atom_site_fract_z
_atom_site_occupancy
Sr1 0.0000 0.0000 0.0967 1
Mg1 0.0000 0.0000 0.3065 1
Mg2 0.0000 0.0000 0.5000 1
# Magnetic moment (μB/f.u.): 0.81
# Uncorrected energy (eV/f.u.): -7.393
# Energy of formation from the pure elements (eV per atom): 0.15
# ΔE to the lowest computed polymorph (eV per formula unit): 0.950
# DOS(E_F) (states/eV per cell): 13.28

=====

(12)
# PmErPI | Alexandria | GGA-PBE | relaxed
data_PmErPI
_cell_length_a 4.0892
_cell_length_b 4.0892
_cell_length_c 22.4950
_cell_angle_alpha 90.00
_cell_angle_beta 90.00
_cell_angle_gamma 120.00
_symmetry_space_group_name_H-M 'R 3 m'
_symmetry_Int_Tables_number 160
_symmetry_space_group_name_Hall 'R 3 -2"'
loop_
_atom_site_label
_atom_site_fract_x
_atom_site_fract_y
_atom_site_fract_z
_atom_site_occupancy
Pm1 0.0000 0.0000 0.0000 1
Er1 0.0000 0.0000 0.7943 1
P1 0.0000 0.0000 0.4033 1
I1 0.0000 0.0000 0.2269 1
# Formation energy (no corrections) (meV/atom): -1321
# Magnetic moment (μB/f.u.): 0.00
# Uncorrected energy (eV/f.u.): -21.559
# DOS(E_F) (states/eV per cell): 1.84

=====

(13)
# LiVCr | Alexandria | GGA-PBE | relaxed
data_LiVCr
_cell_length_a 4.1506
_cell_length_b 4.1506
_cell_length_c 5.5155
_cell_angle_alpha 90.00
_cell_angle_beta 90.00
_cell_angle_gamma 120.00
_symmetry_space_group_name_H-M 'P 3 m 1'
_symmetry_Int_Tables_number 156
_symmetry_space_group_name_Hall 'P 3 -2"'
loop_
_atom_site_label
_atom_site_fract_x
_atom_site_fract_y
_atom_site_fract_z
_atom_site_occupancy
Li1 0.0000 0.0000 0.0000 1
Li2 0.3333 0.6667 0.1435 1
V1 0.3333 0.6667 0.6171 1
V2 0.6667 0.3333 0.7820 1
Cr1 0.0000 0.0000 0.4971 1
Cr2 0.6667 0.3333 0.3962 1
# Magnetic moment (μB/f.u.): 0.00
# Uncorrected energy (eV/f.u.): -19.486
# Energy of formation from the pure elements (eV per atom): 0.39
# ΔE to the lowest computed polymorph (eV per formula unit): 0.689
# DOS(E_F) (states/eV per cell): 3.73